# DyTl2Ni3F12

An optimized crystal structure of DyTl2Ni3F12 (GGA+U, Alexandria via LeMat-Bulk).

Cell: 7.4513 7.4513 15.4162 Å, 90.00 90.00 120.00°
Space group R-3m (No. 166, hexagonal axes)
Symmetry-distinct sites (fractional):
Dy 0.0000 0.0000 0.0000 (multiplicity 3)
Tl 0.0000 0.0000 0.3940 (multiplicity 6)
Ni 0.0000 0.5000 0.5000 (multiplicity 9)
F 0.0454 0.5227 0.3719 (multiplicity 18)
F 0.0953 0.5477 0.7964 (multiplicity 18)

Summary:
For the electronic total energy, the calculation gives -4.61 eV per atom. For the density, the calculation gives 6.55 g cm⁻³.